Entry 1:
# AcZnGe3 | Alexandria via LeMat-Bulk | PBE | optimized geometry
# - Magnetic moment: 0.00 μB/f.u.
# - Calculated total energy: -4.199 eV/atom
# - Energy relative to the lowest polymorph listed for this composition: 0.000 eV per atom
# - Formation energy: -0.35 eV per atom
# - DOS(E_F): 0.51 states/eV/atom
data_AcZnGe3
_chemical_formula_sum 'Ac1 Zn1 Ge3'
_cell_length_a 4.846
_cell_length_b 4.846
_cell_length_c 5.861
_cell_angle_alpha 114.42
_cell_angle_beta 114.42
_cell_angle_gamma 90.00
_symmetry_space_group_name_H-M 'P 1'
_symmetry_Int_Tables_number 1
_symmetry_space_group_name_Hall 'P 1'
loop_
_atom_site_label
_atom_site_type_symbol
_atom_site_fract_x
_atom_site_fract_y
_atom_site_fract_z
Zn1 Zn 0.653 0.653 0.307
Ge1 Ge 0.767 0.267 0.533
Ge2 Ge 0.267 0.767 0.533
Ge3 Ge 0.387 0.387 0.774
Ac1 Ac 0.017 0.017 0.033

Entry 2:
# LaCrTc | Alexandria via LeMat-Bulk | PBE | optimized geometry
# - Magnetic moment: 3.01 μB/f.u.
# - Calculated total energy: -6.893 eV/atom
# - Energy relative to the lowest polymorph listed for this composition: 1.119 eV per atom
# - Formation energy: 1.41 eV per atom
# - DOS(E_F): 2.17 states/eV/atom
data_LaCrTc
_chemical_formula_sum 'La1 Cr1 Tc1'
_cell_length_a 4.563
_cell_length_b 4.563
_cell_length_c 4.563
_cell_angle_alpha 60.00
_cell_angle_beta 60.00
_cell_angle_gamma 60.00
_symmetry_space_group_name_H-M 'P 1'
_symmetry_Int_Tables_number 1
_symmetry_space_group_name_Hall 'P 1'
loop_
_atom_site_label
_atom_site_type_symbol
_atom_site_fract_x
_atom_site_fract_y
_atom_site_fract_z
Cr1 Cr 0.500 0.500 0.500
Tc1 Tc 0.000 0.000 0.000
La1 La 0.750 0.750 0.750